1.
An optimized crystal structure of BaLi2Bi2O6. Source: Alexandria, functional PBE.

Structure (CIF):
```
data_BaLi2Bi2O6
_chemical_formula_sum 'Ba1 Li2 Bi2 O6'
_cell_length_a 6.178
_cell_length_b 6.365
_cell_length_c 6.374
_cell_angle_alpha 64.11
_cell_angle_beta 88.90
_cell_angle_gamma 61.44
_space_group_name_H-M_alt 'P -1'
_space_group_IT_number 2
loop_
_space_group_symop_operation_xyz
'x,y,z'
'-x,-y,-z'
loop_
_atom_site_label
_atom_site_type_symbol
_atom_site_fract_x
_atom_site_fract_y
_atom_site_fract_z
_atom_site_occupancy
Ba1 Ba 0.000 0.000 0.000 1
Li1 Li 0.291 0.269 0.452 1
Bi1 Bi 0.324 0.356 0.962 1
O1 O 0.076 0.272 0.219 1
O2 O 0.345 0.101 0.790 1
O3 O 0.413 0.486 0.207 1
```

Summary:
Size of the total moment: 0.0 Bohr magnetons per cell
VASP energy: -5.4266 eV/atom
Energy relative to the elements, uncorrected: -1.494 eV per atom
Crystal system: triclinic

2.
An optimized crystal structure of Ba4LiBi3O12. Source: Alexandria, functional PBE.

Structure (CIF):
```
data_Ba4LiBi3O12
_chemical_formula_sum 'Ba8 Li2 Bi6 O24'
_cell_length_a 8.636
_cell_length_b 8.636
_cell_length_c 8.636
_cell_angle_alpha 90.00
_cell_angle_beta 90.00
_cell_angle_gamma 90.00
_space_group_name_H-M_alt 'I m -3 m'
_space_group_IT_number 229
_space_group_name_Hall '-I 4 2 3'
loop_
_atom_site_label
_atom_site_type_symbol
_atom_site_fract_x
_atom_site_fract_y
_atom_site_fract_z
_atom_site_occupancy
Ba1 Ba 0.250 0.250 0.250 1
Li1 Li 0.000 0.000 0.000 1
Bi1 Bi 0.000 0.000 0.500 1
O1 O 0.000 0.000 0.261 1
O2 O 0.000 0.250 0.500 1
```

Summary:
Size of the total moment: 0.0 Bohr magnetons per cell
VASP energy: -5.8132 eV/atom
Energy relative to the elements, uncorrected: -1.776 eV per atom
Crystal system: cubic

3.
An optimized crystal structure of Ba2LiBiO4. Source: Alexandria, functional PBE.

Structure (CIF):
```
data_Ba2LiBiO4
_chemical_formula_sum 'Ba16 Li8 Bi8 O32'
_cell_length_a 4.936
_cell_length_b 12.339
_cell_length_c 21.416
_cell_angle_alpha 90.00
_cell_angle_beta 90.00
_cell_angle_gamma 90.00
_space_group_name_H-M_alt 'F d d d'
_space_group_IT_number 70
loop_
_space_group_symop_operation_xyz
'x,y,z'
'-x,-y,-z'
'-x+1/4,-y+1/4,z'
'x+1/4,y+1/4,-z'
'x,-y+1/4,-z+1/4'
'-x,y+1/4,z+1/4'
'-x+1/4,y,-z+1/4'
'x+1/4,-y,z+1/4'
'x,y+1/2,z+1/2'
'-x,-y+1/2,-z+1/2'
'-x+1/4,-y+3/4,z+1/2'
'x+1/4,y+3/4,-z+1/2'
'x,-y+3/4,-z+3/4'
'-x,y+3/4,z+3/4'
'-x+1/4,y+1/2,-z+3/4'
'x+1/4,-y+1/2,z+3/4'
'x+1/2,y,z+1/2'
'-x+1/2,-y,-z+1/2'
'-x+3/4,-y+1/4,z+1/2'
'x+3/4,y+1/4,-z+1/2'
'x+1/2,-y+1/4,-z+3/4'
'-x+1/2,y+1/4,z+3/4'
'-x+3/4,y,-z+3/4'
'x+3/4,-y,z+3/4'
'x+1/2,y+1/2,z'
'-x+1/2,-y+1/2,-z'
'-x+3/4,-y+3/4,z'
'x+3/4,y+3/4,-z'
'x+1/2,-y+3/4,-z+1/4'
'-x+1/2,y+3/4,z+1/4'
'-x+3/4,y+1/2,-z+1/4'
'x+3/4,-y+1/2,z+1/4'
loop_
_atom_site_label
_atom_site_type_symbol
_atom_site_fract_x
_atom_site_fract_y
_atom_site_fract_z
_atom_site_occupancy
Ba1 Ba 0.125 0.125 0.310 1
Li1 Li 0.125 0.125 0.625 1
Bi1 Bi 0.125 0.125 0.125 1
O1 O 0.110 0.254 0.829 1
```

Summary:
Size of the total moment: 0.0 Bohr magnetons per cell
VASP energy: -5.3031 eV/atom
Energy relative to the elements, uncorrected: -1.619 eV per atom
Crystal system: orthorhombic

4.
An optimized crystal structure of Ba10Li2Bi4O21. Source: Alexandria, functional PBE.

Structure (CIF):
```
data_Ba10Li2Bi4O21
_chemical_formula_sum 'Ba20 Li4 Bi8 O42'
_cell_length_a 6.081
_cell_length_b 14.810
_cell_length_c 14.840
_cell_angle_alpha 90.00
_cell_angle_beta 90.00
_cell_angle_gamma 90.00
_space_group_name_H-M_alt 'P m c 21'
_space_group_IT_number 26
loop_
_space_group_symop_operation_xyz
'x,y,z'
'-x,-y,z+1/2'
'-x,y,z'
'x,-y,z+1/2'
loop_
_atom_site_label
_atom_site_type_symbol
_atom_site_fract_x
_atom_site_fract_y
_atom_site_fract_z
_atom_site_occupancy
Ba1 Ba 0.000 0.000 0.000 1
Ba2 Ba 0.000 0.087 0.743 1
Ba3 Ba 0.000 0.292 0.899 1
Ba4 Ba 0.000 0.302 0.423 1
Ba5 Ba 0.000 0.428 0.155 1
Ba6 Ba 0.500 0.070 0.348 1
Ba7 Ba 0.500 0.191 0.062 1
Ba8 Ba 0.500 0.210 0.578 1
Ba9 Ba 0.500 0.414 0.745 1
Ba10 Ba 0.500 0.495 0.490 1
Li1 Li 0.000 0.496 0.863 1
Li2 Li 0.500 0.004 0.631 1
Bi1 Bi 0.000 0.157 0.210 1
Bi2 Bi 0.000 0.314 0.655 1
Bi3 Bi 0.500 0.183 0.830 1
Bi4 Bi 0.500 0.344 0.279 1
O1 O 0.000 0.104 0.340 1
O2 O 0.000 0.190 0.579 1
O3 O 0.000 0.416 0.755 1
O4 O 0.000 0.438 0.981 1
O5 O 0.231 0.073 0.145 1
O6 O 0.236 0.265 0.200 1
O7 O 0.240 0.126 0.906 1
O8 O 0.250 0.247 0.742 1
O9 O 0.254 0.371 0.579 1
O10 O 0.258 0.427 0.339 1
O11 O 0.500 0.050 0.512 1
O12 O 0.500 0.078 0.735 1
O13 O 0.500 0.248 0.384 1
O14 O 0.500 0.305 0.908 1
O15 O 0.500 0.422 0.157 1
```

Summary:
Size of the total moment: 0.4 Bohr magnetons per cell
VASP energy: -5.8327 eV/atom
Energy relative to the elements, uncorrected: -1.976 eV per atom
Crystal system: orthorhombic

5.
An optimized crystal structure of Ba4LiBi3O11. Source: Alexandria, functional PBE.

Structure (CIF):
```
data_Ba4LiBi3O11
_chemical_formula_sum 'Ba8 Li2 Bi6 O22'
_cell_length_a 8.768
_cell_length_b 8.818
_cell_length_c 8.856
_cell_angle_alpha 90.00
_cell_angle_beta 90.00
_cell_angle_gamma 90.00
_space_group_name_H-M_alt 'A m m 2'
_space_group_IT_number 38
loop_
_space_group_symop_operation_xyz
'x,y,z'
'-x,-y,z'
'-x,y,z'
'x,-y,z'
'x,y+1/2,z+1/2'
'-x,-y+1/2,z+1/2'
'-x,y+1/2,z+1/2'
'x,-y+1/2,z+1/2'
loop_
_atom_site_label
_atom_site_type_symbol
_atom_site_fract_x
_atom_site_fract_y
_atom_site_fract_z
_atom_site_occupancy
Ba1 Ba 0.239 0.238 0.000 1
Li1 Li 0.500 0.000 0.182 1
Bi1 Bi 0.000 0.000 0.243 1
Bi2 Bi 0.000 0.000 0.736 1
Bi3 Bi 0.500 0.000 0.735 1
O1 O 0.000 0.000 0.483 1
O2 O 0.000 0.000 0.994 1
O3 O 0.000 0.244 0.230 1
O4 O 0.246 0.000 0.236 1
O5 O 0.257 0.000 0.721 1
O6 O 0.500 0.000 0.967 1
O7 O 0.500 0.219 0.646 1
```

Summary:
Size of the total moment: 0.0 Bohr magnetons per cell
VASP energy: -5.8070 eV/atom
Energy relative to the elements, uncorrected: -1.818 eV per atom
Crystal system: orthorhombic

6.
An optimized crystal structure of BaLiBiO4. Source: Alexandria, functional PBE.

Structure (CIF):
```
data_BaLiBiO4
_chemical_formula_sum 'Ba2 Li2 Bi2 O8'
_cell_length_a 5.849
_cell_length_b 5.849
_cell_length_c 7.425
_cell_angle_alpha 90.00
_cell_angle_beta 90.00
_cell_angle_gamma 90.00
_space_group_name_H-M_alt 'I -4'
_space_group_IT_number 82
loop_
_space_group_symop_operation_xyz
'x,y,z'
'y,-x,-z'
'-x,-y,z'
'-y,x,-z'
'x+1/2,y+1/2,z+1/2'
'y+1/2,-x+1/2,-z+1/2'
'-x+1/2,-y+1/2,z+1/2'
'-y+1/2,x+1/2,-z+1/2'
loop_
_atom_site_label
_atom_site_type_symbol
_atom_site_fract_x
_atom_site_fract_y
_atom_site_fract_z
_atom_site_occupancy
Ba1 Ba 0.000 0.000 0.000 1
Li1 Li 0.000 0.500 0.250 1
Bi1 Bi 0.000 0.000 0.500 1
O1 O 0.166 0.768 0.341 1
```

Summary:
Size of the total moment: 0.0 Bohr magnetons per cell
VASP energy: -5.5774 eV/atom
Energy relative to the elements, uncorrected: -1.642 eV per atom
Crystal system: tetragonal

Question: Which formula does entry 4 have?
Answer: Ba10Li2Bi4O21

Question: Which formula does entry 6 have?
Answer: BaLiBiO4

Question: What is the energy relative to the elements, uncorrected in the first record?
Answer: -1.494 eV per atom

Question: What is the formula in the fourth record?
Answer: Ba10Li2Bi4O21